The following is a DFT calculation (PBE-GGA) of crystalline Hf5NbSi3 at its relaxed geometry.

Output
Magnetization, μB per cell: 0.0
Energy relative to the elements, uncorrected, kJ/mol of atoms: -7
Uncorrected energy, eV/atom: -8.532

Structure (extended XYZ):
```
18
Lattice="5.0320 -4.1219 0.0000 5.0320 4.1219 0.0000 -2.4701 0.0000 9.1803" Properties=species:S:1:pos:R:3 pbc="T T T"
Hf -0.5166 0.0000 3.0483
Hf 2.3235 1.7440 3.3297
Hf 5.0320 2.6058 0.0000
Hf 0.2146 0.0000 8.1020
Hf 5.2704 1.7440 5.8505
Hf 2.3235 -1.7440 3.3297
Hf 7.3792 0.0000 1.0782
Hf 5.0320 -2.6058 0.0000
Hf 5.2704 -1.7440 5.8505
Hf 8.1105 0.0000 6.1320
Nb 3.0366 0.0000 6.8584
Nb 4.5573 0.0000 2.3219
Si 1.7163 0.0000 1.4239
Si 1.0541 0.0000 5.1752
Si 5.0320 0.0000 0.0000
Si 3.7969 0.0000 4.5901
Si 6.5397 0.0000 4.0050
Si 5.8775 0.0000 7.7563
```